No. 1
{
  "formula": "NbAlSn2Ru",
  "functional": "PBE",
  "state": "relaxed",
  "delta_e_f_kj_per_mol_atoms": 65.26,
  "e_tot_ev_per_atom": -5.5424,
  "cell": [[5.063, 0.000, 0.000], [0.000, 5.063, 0.000], [0.000, 0.000, 4.622]],
  "species": ["Nb", "Al", "Sn", "Sn", "Ru"],
  "fractional_positions": [[0.000, 0.000, 0.000], [0.500, 0.500, 0.000], [0.000, 0.500, 0.500], [0.500, 0.000, 0.500], [0.500, 0.500, 0.500]]
}



No. 2
{
  "formula": "NpInPt6",
  "functional": "PBE",
  "state": "relaxed",
  "delta_e_f_kj_per_mol_atoms": -49.29,
  "e_tot_ev_per_atom": -7.0013,
  "cell": [[4.106, 0.000, 0.000], [0.000, 4.106, 0.000], [0.000, 0.000, 8.181]],
  "species": ["Np", "In", "Pt", "Pt", "Pt", "Pt", "Pt", "Pt"],
  "fractional_positions": [[0.000, 0.000, 0.000], [0.000, 0.000, 0.500], [0.000, 0.500, 0.249], [0.000, 0.500, 0.751], [0.500, 0.000, 0.249], [0.500, 0.000, 0.751], [0.500, 0.500, 0.000], [0.500, 0.500, 0.500]]
}



No. 3
{
  "formula": "CdGaHg5",
  "functional": "PBE",
  "state": "relaxed",
  "delta_e_f_kj_per_mol_atoms": 4.36,
  "e_tot_ev_per_atom": -0.7336,
  "cell": [[4.499, -4.749, 0.000], [4.499, 4.749, 0.000], [-1.830, 0.000, 8.752]],
  "species": ["Cd", "Cd", "Ga", "Ga", "Hg", "Hg", "Hg", "Hg", "Hg", "Hg", "Hg", "Hg", "Hg", "Hg"],
  "fractional_positions": [[0.010, 0.990, 0.750], [0.990, 0.010, 0.250], [0.500, 0.500, 0.000], [0.500, 0.500, 0.500], [0.110, 0.597, 0.352], [0.119, 0.302, 0.040], [0.302, 0.119, 0.540], [0.322, 0.678, 0.750], [0.403, 0.890, 0.148], [0.597, 0.110, 0.852], [0.678, 0.322, 0.250], [0.698, 0.881, 0.460], [0.881, 0.698, 0.960], [0.890, 0.403, 0.648]]
}



No. 4
{
  "formula": "CaI3",
  "functional": "PBE",
  "state": "relaxed",
  "formation_energy_uncorrected_ev_per_atom": -0.958,
  "e_tot_ev_per_atom": -2.6208,
  "cell": [[-5.421, 5.421, 3.144], [5.421, -5.421, 3.144], [5.421, 5.421, -3.144]],
  "species": ["Ca", "Ca", "I", "I", "I", "I", "I", "I"],
  "fractional_positions": [[0.000, 0.000, 0.000], [0.750, 0.250, 0.500], [0.003, 0.625, 0.878], [0.250, 0.750, 0.500], [0.375, 0.253, 0.378], [0.500, 0.500, 0.000], [0.747, 0.125, 0.122], [0.875, 0.997, 0.622]]
}



No. 5
{
  "formula": "Rb3AuIBr",
  "functional": "PBE",
  "state": "relaxed",
  "formation_energy_uncorrected_ev_per_atom": -1.139,
  "e_tot_ev_per_atom": -2.7063,
  "cell": [[8.895, 0.000, 0.000], [0.000, 4.896, 0.000], [-1.181, 0.000, 13.059]],
  "species": ["Rb", "Rb", "Rb", "Rb", "Rb", "Rb", "Au", "Au", "I", "I", "Br", "Br"],
  "fractional_positions": [[0.176, 0.250, 0.214], [0.249, 0.750, 0.551], [0.263, 0.250, 0.875], [0.737, 0.750, 0.125], [0.751, 0.250, 0.449], [0.824, 0.750, 0.786], [0.090, 0.750, 0.005], [0.910, 0.250, 0.995], [0.472, 0.750, 0.322], [0.528, 0.250, 0.678], [0.026, 0.250, 0.655], [0.974, 0.750, 0.345]]
}



No. 6
{
  "formula": "V2Zn2Rh3",
  "functional": "PBE",
  "state": "relaxed",
  "delta_e_f_kj_per_mol_atoms": -25.14,
  "e_tot_ev_per_atom": -6.3805,
  "cell": [[1.884, -9.294, 0.000], [1.884, 9.294, 0.000], [0.000, 0.000, 2.801]],
  "species": ["V", "V", "Zn", "Zn", "Rh", "Rh", "Rh"],
  "fractional_positions": [[0.211, 0.789, 0.000], [0.789, 0.211, 0.000], [0.069, 0.931, 0.000], [0.931, 0.069, 0.000], [0.345, 0.655, 0.500], [0.500, 0.500, 0.500], [0.655, 0.345, 0.500]]
}



No. 7
{
  "formula": "Sc2TiGeN",
  "functional": "PBE",
  "state": "relaxed",
  "polymorph_energy_ev_per_atom": 0.606,
  "formation_energy_uncorrected_ev_per_atom": -0.471,
  "e_tot_ev_per_atom": -7.1712,
  "cell": [[4.244, 0.000, 0.000], [0.000, 4.244, 0.000], [0.000, 0.000, 4.844]],
  "species": ["Sc", "Sc", "Ti", "Ge", "N"],
  "fractional_positions": [[0.000, 0.500, 0.000], [0.500, 0.000, 0.000], [0.000, 0.000, 0.500], [0.500, 0.500, 0.500], [0.500, 0.500, 0.000]]
}



No. 8
{
  "formula": "Cs3InAg2Br9",
  "functional": "PBE",
  "state": "relaxed",
  "formation_energy_uncorrected_ev_per_atom": -1.053,
  "e_tot_ev_per_atom": -2.7900,
  "cell": [[7.863, 0.000, 0.000], [-3.931, 6.809, 0.000], [0.000, 0.000, 9.687]],
  "species": ["Cs", "Cs", "Cs", "In", "Ag", "Ag", "Br", "Br", "Br", "Br", "Br", "Br", "Br", "Br", "Br"],
  "fractional_positions": [[0.000, 0.000, 0.000], [0.333, 0.667, 0.674], [0.667, 0.333, 0.326], [0.000, 0.000, 0.500], [0.333, 0.667, 0.157], [0.667, 0.333, 0.843], [0.000, 0.500, 0.000], [0.164, 0.329, 0.338], [0.164, 0.836, 0.338], [0.329, 0.164, 0.662], [0.500, 0.000, 0.000], [0.500, 0.500, 0.000], [0.671, 0.836, 0.338], [0.836, 0.164, 0.662], [0.836, 0.671, 0.662]]
}



Please write out number 2 again, unchanged.
{
  "formula": "NpInPt6",
  "functional": "PBE",
  "state": "relaxed",
  "delta_e_f_kj_per_mol_atoms": -49.29,
  "e_tot_ev_per_atom": -7.0013,
  "cell": [[4.106, 0.000, 0.000], [0.000, 4.106, 0.000], [0.000, 0.000, 8.181]],
  "species": ["Np", "In", "Pt", "Pt", "Pt", "Pt", "Pt", "Pt"],
  "fractional_positions": [[0.000, 0.000, 0.000], [0.000, 0.000, 0.500], [0.000, 0.500, 0.249], [0.000, 0.500, 0.751], [0.500, 0.000, 0.249], [0.500, 0.000, 0.751], [0.500, 0.500, 0.000], [0.500, 0.500, 0.500]]
}